Below is LaY3Ru after structural relaxation, with properties calculated at the PBE level.

Unit cell a=4.3733 b=4.3733 c=21.6695 alpha=90.00 beta=90.00 gamma=120.00
Last column: nearest neighbours and their distance in Å.
Element x y z (fractional)
Y1 0.6667 0.3333 0.1262  1 Ru 2.68
La1 0.0000 0.0000 0.0000  6 Y 3.72
Y2 0.0000 0.0000 0.7500  3 Ru 2.52
Ru1 0.3333 0.6667 0.7500  5 Y 2.52-2.68
Y3 0.6667 0.3333 0.3738  1 Ru 2.68
Y4 0.3333 0.6667 0.6262  1 Ru 2.68
La2 0.0000 0.0000 0.5000  6 Y 3.72
Y5 0.3333 0.6667 0.8738  1 Ru 2.68
Y6 0.0000 0.0000 0.2500  3 Ru 2.52
Ru2 0.6667 0.3333 0.2500  5 Y 2.52-2.68

- Formation energy: 0.3819 eV per atom
- N(E_F): 11.18 states/eV per cell

***

Below is Rb2TlCl5 after structural relaxation, with properties calculated at the PBE level.

Unit cell a=7.7433 b=10.4998 c=12.8818 alpha=90.00 beta=90.00 gamma=90.00
Last column: nearest neighbours and their distance in Å.
Element x y z (fractional)
Cl1 0.4063 0.7500 0.3326  1 Tl 2.61
Rb1 0.8928 0.5069 0.6702  8 Cl 3.42-3.65
Rb2 0.1072 0.4931 0.3298  8 Cl 3.42-3.65
Cl2 0.8193 0.7500 0.4937  1 Tl 2.55
Tl1 0.4947 0.7500 0.5278  5 Cl 2.55-2.66
Cl3 0.2995 0.5602 0.5677  1 Tl 2.55
Cl4 0.2995 0.9398 0.5677  1 Tl 2.55
Cl5 0.0989 0.2500 0.7756  1 Tl 2.66
Cl6 0.3193 0.2500 0.0063  1 Tl 2.55
Rb3 0.8928 0.9931 0.6702  8 Cl 3.42-3.65
Cl7 0.2005 0.5602 0.0677  1 Tl 2.55
Tl2 0.0053 0.7500 0.0278  5 Cl 2.55-2.66
Cl8 0.7995 0.4398 0.9323  1 Tl 2.55
Tl3 0.5053 0.2500 0.4722  5 Cl 2.55-2.66
Cl9 0.5989 0.7500 0.7244  1 Tl 2.66
Cl10 0.6807 0.7500 0.9937  1 Tl 2.55
Cl11 0.7005 0.0602 0.4323  1 Tl 2.55
Cl12 0.7005 0.4398 0.4323  1 Tl 2.55
Cl13 0.5937 0.2500 0.6674  1 Tl 2.61
Cl14 0.2005 0.9398 0.0677  1 Tl 2.55
Rb4 0.6072 0.5069 0.1702  8 Cl 3.42-3.65
Cl15 0.4011 0.2500 0.2756  1 Tl 2.66
Rb5 0.1072 0.0069 0.3298  8 Cl 3.42-3.65
Rb6 0.6072 0.9931 0.1702  8 Cl 3.42-3.65
Cl16 0.9011 0.7500 0.2244  1 Tl 2.66
Cl17 0.9063 0.2500 0.1674  1 Tl 2.61
Cl18 0.1807 0.2500 0.5063  1 Tl 2.55
Rb7 0.3928 0.4931 0.8298  8 Cl 3.42-3.65
Cl19 0.0937 0.7500 0.8326  1 Tl 2.61
Rb8 0.3928 0.0069 0.8298  8 Cl 3.42-3.65
Cl20 0.7995 0.0602 0.9323  1 Tl 2.55
Tl4 0.9947 0.2500 0.9722  5 Cl 2.55-2.66

- N(E_F): 0.00 states/eV per cell
- E_form (uncorrected): -1.343 eV/atom

***

Below is YNi2HCl after structural relaxation, with properties calculated at the PBE level.

Unit cell a=4.0444 b=5.3384 c=4.0444 alpha=90.00 beta=90.00 gamma=90.00
Last column: nearest neighbours and their distance in Å.
Element x y z (fractional)
Y1 0.0000 0.5000 0.0000  2 Cl 2.67, 4 H 2.86
Ni1 0.5000 0.0000 0.0000  2 Cl 2.02
Ni2 0.0000 0.0000 0.5000  2 Cl 2.02
Cl1 0.0000 0.0000 0.0000  4 Ni 2.02
H1 0.5000 0.5000 0.5000  4 Y 2.86

- N(E_F): 3.70 states/eV per cell
- Uncorrected energy: -21.38 eV for the cell shown

***

Below is ZnSnAs2 after structural relaxation, with properties calculated at the PBE level.

Unit cell a=7.2691 b=7.2691 c=7.2691 alpha=33.65 beta=33.65 gamma=33.65
Last column: nearest neighbours and their distance in Å.
Element x y z (fractional)
As1 0.5079 0.5079 0.5079  1 Zn 2.62, 3 Sn 2.70
Sn1 0.1169 0.1169 0.1169  4 As 2.61-2.70
Zn1 0.6353 0.6353 0.6353  4 As 2.47-2.62
As2 0.9899 0.9899 0.9899  3 Zn 2.47, 1 Sn 2.61

- Formation energy: -0.1557 eV per atom
- N(E_F): 0.56 states/eV per cell

***

Below is PbSCl2 after structural relaxation, with properties calculated at the PBE level.

Unit cell a=9.6498 b=9.6498 c=9.6498 alpha=22.32 beta=22.32 gamma=22.32
Last column: nearest neighbours and their distance in Å.
Element x y z (fractional)
Cl1 0.0972 0.0972 0.0972  1 Pb 2.74, 3 S 2.92
Pb1 0.0000 0.0000 0.0000  2 Cl 2.74
Cl2 0.9028 0.9028 0.9028  1 Pb 2.74, 3 S 2.92
S1 0.5000 0.5000 0.5000  6 Cl 2.92

- N(E_F): 1.75 states/eV per cell
- E_form (uncorrected): 0.328 eV/atom

***

Below is Mg5Tc after structural relaxation, with properties calculated at the PBE level.

Unit cell a=5.8108 b=5.8108 c=7.3040 alpha=75.57 beta=75.57 gamma=29.61
Last column: nearest neighbours and their distance in Å.
Element x y z (fractional)
Mg1 0.3254 0.3254 0.3262  9 Mg 2.89-3.05, 3 Tc 2.92-3.13
Mg2 0.9519 0.9519 0.5883  2 Tc 2.87, 7 Mg 2.96-3.14
Mg3 0.0100 0.0100 0.0199  9 Mg 2.85-3.19, 2 Tc 2.89
Tc1 0.6100 0.6100 0.2857  10 Mg 2.87-3.13, 2 Tc 2.97
Mg4 0.6648 0.6648 0.6535  1 Tc 2.91, 11 Mg 2.96-3.16
Mg5 0.2713 0.2713 0.9597  8 Mg 2.85-3.19, 2 Tc 2.99

- Formation energy: 0.1399 eV per atom
- N(E_F): 3.60 states/eV per cell

***

Below is K2InTe4 after structural relaxation, with properties calculated at the PBE level.

Unit cell a=5.8816 b=5.8816 c=9.6384 alpha=72.23 beta=72.23 gamma=90.00
Last column: nearest neighbours and their distance in Å.
Element x y z (fractional)
In1 0.0000 0.0000 0.0000  6 Te 2.80-2.94
Te1 0.0000 0.5000 0.0000  2 In 2.94
Te2 0.8387 0.8387 0.3225  1 In 2.80
Te3 0.5000 0.0000 0.0000  2 In 2.94
K1 0.3655 0.3655 0.2690  5 Te 3.55-3.76
K2 0.6345 0.6345 0.7310  5 Te 3.55-3.76
Te4 0.1613 0.1613 0.6775  1 In 2.80

- N(E_F): 12.40 states/eV per cell
- E_form (uncorrected): -0.272 eV/atom

***

Below is CsHgRh3 after structural relaxation, with properties calculated at the PBE level.

Unit cell a=4.9656 b=4.9656 c=4.9656 alpha=90.00 beta=90.00 gamma=90.00
Last column: nearest neighbours and their distance in Å.
Element x y z (fractional)
Rh1 0.0000 0.5000 0.0000  2 Cs 2.48
Rh2 0.0000 0.0000 0.5000  2 Cs 2.48
Cs1 0.0000 0.0000 0.0000  6 Rh 2.48
Hg1 0.5000 0.5000 0.5000  12 Rh 3.51
Rh3 0.5000 0.0000 0.0000  2 Cs 2.48

- Formation energy: 1.9449 eV per atom
- N(E_F): 4.19 states/eV per cell

***

Below is CsRbNa2Se after structural relaxation, with properties calculated at the PBE level.

Unit cell a=6.0077 b=6.0077 c=7.0922 alpha=90.00 beta=90.00 gamma=90.00
Last column: nearest neighbours and their distance in Å.
Element x y z (fractional)
Na1 0.5000 0.0000 0.0000  2 Se 3.00
Cs1 0.0000 0.0000 0.5000  2 Se 3.55
Se1 0.0000 0.0000 0.0000  4 Na 3.00
Rb1 0.5000 0.5000 0.5000  4 Cs 4.25, 8 Na 4.65
Na2 0.0000 0.5000 0.0000  2 Se 3.00

- N(E_F): 2.65 states/eV per cell
- E_form (uncorrected): -0.451 eV/atom

***

Below is Nb2CdNiAs after structural relaxation, with properties calculated at the PBE level.

Unit cell a=4.8034 b=4.2358 c=4.8034 alpha=90.00 beta=90.00 gamma=90.00
Last column: nearest neighbours and their distance in Å.
Element x y z (fractional)
Ni1 0.0000 0.0000 0.0000  2 As 2.12
Nb1 0.0000 0.0000 0.5000  2 Ni 2.40
Cd1 0.5000 0.5000 0.5000  8 Nb 3.20, 4 As 3.40
As1 0.0000 0.5000 0.0000  2 Ni 2.12
Nb2 0.5000 0.0000 0.0000  2 Ni 2.40

- Formation energy: 0.6529 eV per atom
- N(E_F): 6.38 states/eV per cell

***

Below is Ac12Pm6Nd after structural relaxation, with properties calculated at the PBE level.

Unit cell a=10.2406 b=10.2406 c=10.2406 alpha=110.84 beta=110.84 gamma=110.84
Last column: nearest neighbours and their distance in Å.
Element x y z (fractional)
Pm1 0.6809 0.5307 0.7829  4 Pm 3.70-3.80, 7 Ac 3.79-4.01, 1 Nd 3.84
Ac1 0.5829 0.3760 0.0658  4 Pm 3.79-4.01, 8 Ac 3.87-3.95
Ac2 0.3760 0.0658 0.5829  4 Pm 3.79-4.01, 8 Ac 3.87-3.95
Ac3 0.2626 0.8978 0.8442  1 Nd 3.84, 8 Ac 3.84-3.94, 3 Pm 3.91-3.99
Pm2 0.4693 0.2171 0.3191  4 Pm 3.70-3.80, 7 Ac 3.79-4.01, 1 Nd 3.84
Ac4 0.1022 0.1558 0.7374  1 Nd 3.84, 8 Ac 3.84-3.94, 3 Pm 3.91-3.99
Ac5 0.0658 0.5829 0.3760  4 Pm 3.79-4.01, 8 Ac 3.87-3.95
Pm3 0.5307 0.7829 0.6809  4 Pm 3.70-3.80, 7 Ac 3.79-4.01, 1 Nd 3.84
Ac6 0.1558 0.7374 0.1022  1 Nd 3.84, 8 Ac 3.84-3.94, 3 Pm 3.91-3.99
Ac7 0.7374 0.1022 0.1558  1 Nd 3.84, 8 Ac 3.84-3.94, 3 Pm 3.91-3.99
Ac8 0.6240 0.9342 0.4171  4 Pm 3.79-4.01, 8 Ac 3.87-3.95
Pm4 0.7829 0.6809 0.5307  4 Pm 3.70-3.80, 7 Ac 3.79-4.01, 1 Nd 3.84
Nd1 0.0000 0.0000 0.0000  6 Ac 3.84, 6 Pm 3.84
Pm5 0.2171 0.3191 0.4693  4 Pm 3.70-3.80, 7 Ac 3.79-4.01, 1 Nd 3.84
Ac9 0.8442 0.2626 0.8978  1 Nd 3.84, 8 Ac 3.84-3.94, 3 Pm 3.91-3.99
Pm6 0.3191 0.4693 0.2171  4 Pm 3.70-3.80, 7 Ac 3.79-4.01, 1 Nd 3.84
Ac10 0.8978 0.8442 0.2626  1 Nd 3.84, 8 Ac 3.84-3.94, 3 Pm 3.91-3.99
Ac11 0.9342 0.4171 0.6240  4 Pm 3.79-4.01, 8 Ac 3.87-3.95
Ac12 0.4171 0.6240 0.9342  4 Pm 3.79-4.01, 8 Ac 3.87-3.95

- Formation energy: 0.0405 eV per atom
- N(E_F): 36.42 states/eV per cell

***

Below is SrLiAs2 after structural relaxation, with properties calculated at the PBE level.

Unit cell a=8.7971 b=8.7971 c=8.7971 alpha=23.80 beta=23.80 gamma=23.80
Last column: nearest neighbours and their distance in Å.
Element x y z (fractional)
Li1 0.2500 0.2500 0.2500  6 As 2.83
Sr1 0.7500 0.7500 0.7500  6 As 3.16
As1 0.9909 0.9909 0.9909  3 Li 2.83, 3 Sr 3.16
As2 0.5091 0.5091 0.5091  3 Li 2.83, 3 Sr 3.16

- Formation energy: -0.2980 eV per atom
- N(E_F): 1.37 states/eV per cell

***

Below is Sm3Ho4Tl4 after structural relaxation, with properties calculated at the PBE level.

Unit cell a=3.7865 b=9.7208 c=10.4923 alpha=117.60 beta=100.40 gamma=90.00
Last column: nearest neighbours and their distance in Å.
Element x y z (fractional)
Sm1 0.0000 0.5000 0.0000  4 Tl 3.30
Ho1 0.3331 0.5323 0.6662  4 Tl 3.14-3.24
Tl1 0.5000 0.2214 0.0000  2 Ho 3.14, 6 Sm 3.30-3.41
Tl2 0.5000 0.7786 0.0000  2 Ho 3.14, 6 Sm 3.30-3.41
Sm2 0.8990 0.8990 0.7980  6 Tl 3.21-3.41
Ho2 0.6669 0.8661 0.3338  4 Tl 3.14-3.24
Tl3 0.7435 0.2435 0.4871  6 Ho 3.16-3.24, 2 Sm 3.21
Ho3 0.3331 0.1339 0.6662  4 Tl 3.14-3.24
Ho4 0.6669 0.4677 0.3338  4 Tl 3.14-3.24
Sm3 0.1010 0.1010 0.2020  6 Tl 3.21-3.41
Tl4 0.2565 0.7565 0.5129  6 Ho 3.16-3.24, 2 Sm 3.21

- Formation energy: -0.2294 eV per atom
- N(E_F): 11.35 states/eV per cell

***

Below is Pr2Sn3Au2 after structural relaxation, with properties calculated at the PBE level.

Unit cell a=4.7702 b=7.4190 c=10.5569 alpha=90.00 beta=103.06 gamma=90.00
Last column: nearest neighbours and their distance in Å.
Element x y z (fractional)
Au1 0.6998 0.5369 0.3996  4 Sn 2.79-2.87
Pr1 0.0395 0.7500 0.0791  9 Sn 3.33-3.57
Sn1 0.2067 0.7500 0.4134  6 Au 2.86-2.87
Au2 0.3002 0.0369 0.6004  4 Sn 2.79-2.87
Sn2 0.5683 0.0520 0.1365  1 Au 2.79, 2 Sn 2.91-2.94
Sn3 0.5683 0.4480 0.1365  1 Au 2.79, 2 Sn 2.91-2.94
Pr2 0.8398 0.7500 0.6797  6 Au 3.29-3.30, 6 Sn 3.38-3.63
Au3 0.3002 0.4631 0.6004  4 Sn 2.79-2.87
Sn4 0.4317 0.9480 0.8635  1 Au 2.79, 2 Sn 2.91-2.94
Au4 0.6998 0.9631 0.3996  4 Sn 2.79-2.87
Pr3 0.9605 0.2500 0.9209  9 Sn 3.33-3.57
Pr4 0.1602 0.2500 0.3203  6 Au 3.29-3.30, 6 Sn 3.38-3.63
Sn5 0.4317 0.5520 0.8635  1 Au 2.79, 2 Sn 2.91-2.94
Sn6 0.7933 0.2500 0.5866  6 Au 2.86-2.87

- Formation energy: -0.6575 eV per atom
- N(E_F): 5.05 states/eV per cell